1.
A plane-wave DFT calculation with PBE was carried out for a geometry-optimized CoAs2SeS structure.

```
5
Lattice="4.410 0.000 0.000 0.000 4.410 0.000 0.000 0.000 5.058" Properties=species:S:1:pos:R:3 pbc="T T T"
Co 0.000 0.000 0.000
As 0.000 2.205 0.000
As 2.205 0.000 0.000
Se 0.000 0.000 2.529
S 2.205 2.205 2.529
```

Properties
The energy above the most stable polymorph in this dataset is 0 kJ/mol of formula units. The calculation puts the uncorrected formation energy at 0.55 eV/atom. Its space group is No. 123. For the final energy, the calculation gives -4.255 eV/atom.

=====

2.
A plane-wave DFT calculation with PBE was carried out for a geometry-optimized CoAs2SeS structure.

```
5
Lattice="4.772 0.000 0.000 0.000 4.772 0.000 0.000 0.000 4.740" Properties=species:S:1:pos:R:3 pbc="T T T"
Co 0.000 0.000 0.000
As 0.000 2.386 2.370
As 2.386 0.000 2.370
Se 2.386 2.386 0.000
S 2.386 2.386 2.370
```

Properties
The energy above the most stable polymorph in this dataset is 260 kJ/mol of formula units. The calculation puts the uncorrected formation energy at 1.09 eV/atom. Its space group is No. 123. For the final energy, the calculation gives -3.715 eV/atom.

=====

3.
A plane-wave DFT calculation with PBE was carried out for a geometry-optimized ZrCo2AsS structure.

```
5
Lattice="4.191 0.000 0.000 0.000 4.191 0.000 0.000 0.000 5.088" Properties=species:S:1:pos:R:3 pbc="T T T"
Zr 0.000 0.000 0.000
Co 0.000 2.096 2.544
Co 2.096 0.000 2.544
As 2.096 2.096 2.544
S 2.096 2.096 0.000
```

Properties
The calculation puts the uncorrected formation energy at 0.38 eV/atom. Its space group is No. 123. For the final energy, the calculation gives -5.932 eV/atom.

=====

Q: Look up the final energy of the second one.
A: -3.715 eV/atom

=====

Q: final energy of number 2 (CoAs2SeS)?
A: -3.715 eV/atom

=====

Q: The lowest final energy belongs to which entry?
A: ZrCo2AsS

=====

Q: Among the records above, which one has the lowest final energy?
A: ZrCo2AsS